An optimized crystal structure of HfMn3V. Source: Alexandria via LeMat-Bulk, functional PBE. Values from VASP.

Properties
The total energy is -38.5 eV for the cell shown. Its calculated formation energy is 1.61 eV/atom.

```
&SYSTEM
  ibrav = 0, nat = 5, ntyp = 3
/
ATOMIC_SPECIES
Mn 54.94 Mn.upf
Hf 178.49 Hf.upf
V 50.94 V.upf
CELL_PARAMETERS angstrom
4.707 0.000 0.000
0.000 4.707 0.000
0.000 0.000 4.707
ATOMIC_POSITIONS angstrom
Mn 0.000 2.354 0.000
Mn 0.000 0.000 2.354
Mn 2.354 0.000 0.000
Hf 0.000 0.000 0.000
V 2.354 2.354 2.354
```